Entry 1:
Zn2TcSb | PBE | relaxed

Output
As for the final energy: -3.869 eV/atom.

Unit cell a=4.564 b=4.564 c=4.564 alpha=60.00 beta=60.00 gamma=60.00
Element x y z (fractional)
Tc: 0.250 0.250 0.250
Zn: 0.750 0.750 0.750
Zn: 0.000 0.000 0.000
Sb: 0.500 0.500 0.500

***

Entry 2:
ZnTcSb2 | PBE | relaxed

Output
As for the final energy: -4.349 eV/atom.

Unit cell a=4.824 b=4.824 c=4.824 alpha=60.00 beta=60.00 gamma=60.00
Element x y z (fractional)
Sb: 0.250 0.250 0.250
Sb: 0.000 0.000 0.000
Zn: 0.500 0.500 0.500
Tc: 0.750 0.750 0.750

***

Entry 3:
ZrTcSb | PBE | relaxed

Output
The calculation puts the energy above the lowest structure with this stoichiometry at 0.000 eV per atom. As for the final energy: -7.856 eV/atom.

Unit cell a=4.522 b=4.522 c=4.522 alpha=60.00 beta=60.00 gamma=60.00
Element x y z (fractional)
Sb: 0.500 0.500 0.500
Tc: 0.750 0.750 0.750
Zr: 0.000 0.000 0.000

***

Entry 4:
Zr2TcSb | PBE | relaxed

Output
As for the final energy: -8.039 eV/atom.

Unit cell a=4.779 b=4.779 c=4.779 alpha=60.00 beta=60.00 gamma=60.00
Element x y z (fractional)
Zr: 0.750 0.750 0.750
Zr: 0.000 0.000 0.000
Sb: 0.500 0.500 0.500
Tc: 0.250 0.250 0.250

***

Entry 5:
TmTlSbTe3 | PBE | relaxed

Output
As for the final energy: -3.945 eV/atom.

Unit cell a=8.004 b=8.004 c=12.490 alpha=90.00 beta=90.00 gamma=149.67
Element x y z (fractional)
Te: 0.860 0.140 0.491
Te: 0.532 0.468 0.250
Te: 0.140 0.860 0.509
Te: 0.468 0.532 0.750
Te: 0.140 0.860 0.991
Te: 0.860 0.140 0.009
Tl: 0.792 0.208 0.750
Tl: 0.208 0.792 0.250
Tm: 0.500 0.500 0.500
Tm: 0.500 0.500 0.000
Sb: 0.883 0.117 0.250
Sb: 0.117 0.883 0.750

***

Entry 6:
TmSbTe | PBE | relaxed

Output
As for the final energy: -4.140 eV/atom.

Unit cell a=5.117 b=5.117 c=5.117 alpha=60.00 beta=60.00 gamma=60.00
Element x y z (fractional)
Tm: 0.750 0.750 0.750
Sb: 0.250 0.250 0.250
Te: 0.000 0.000 0.000

***

Entry 7:
Tm3Sb2Te | PBE | relaxed

Output
As for the final energy: -5.289 eV/atom.

Unit cell a=7.488 b=7.488 c=7.485 alpha=99.61 beta=99.61 gamma=120.00
Element x y z (fractional)
Sb: 0.916 0.084 0.750
Sb: 0.084 0.916 0.250
Sb: 0.254 0.746 0.750
Sb: 0.746 0.254 0.250
Tm: 0.326 0.153 0.997
Tm: 0.674 0.847 0.003
Tm: 0.153 0.326 0.497
Tm: 0.000 0.500 0.000
Tm: 0.500 0.000 0.500
Tm: 0.847 0.674 0.503
Te: 0.419 0.581 0.250
Te: 0.581 0.419 0.750

***

Entry 8:
TmSbTe | PBE | relaxed

Output
As for the final energy: -4.445 eV/atom.

Unit cell a=5.155 b=5.155 c=5.155 alpha=60.00 beta=60.00 gamma=60.00
Element x y z (fractional)
Sb: 0.250 0.250 0.250
Tm: 0.000 0.000 0.000
Te: 0.750 0.750 0.750

***

Entry 9:
USbTe | PBE | relaxed

Output
As for the final energy: -6.327 eV/atom.

Unit cell a=5.119 b=5.119 c=5.119 alpha=60.00 beta=60.00 gamma=60.00
Element x y z (fractional)
U: 0.000 0.000 0.000
Te: 0.750 0.750 0.750
Sb: 0.250 0.250 0.250

***

Entry 10:
USbTe | PBE | relaxed

Output
As for the final energy: -6.164 eV/atom.

Unit cell a=5.490 b=5.490 c=6.145 alpha=90.00 beta=90.00 gamma=120.00
Element x y z (fractional)
Te: 0.333 0.667 0.485
Te: 0.667 0.333 0.985
Sb: 0.333 0.667 0.990
Sb: 0.667 0.333 0.490
U: 0.000 0.000 0.775
U: 0.000 0.000 0.275

***

Entry 11:
USbTe | PBE | relaxed

Output
As for the final energy: -5.960 eV/atom.

Unit cell a=5.098 b=5.098 c=5.098 alpha=60.00 beta=60.00 gamma=60.00
Element x y z (fractional)
Sb: 0.250 0.250 0.250
U: 0.750 0.750 0.750
Te: 0.000 0.000 0.000

***

Entry 12:
USbTe | PBE | relaxed

Output
As for the final energy: -6.264 eV/atom.

Unit cell a=8.675 b=8.675 c=3.700 alpha=90.00 beta=90.00 gamma=120.00
Element x y z (fractional)
Sb: 0.333 0.667 0.000
Sb: 0.000 0.000 0.500
Sb: 0.667 0.333 0.000
U: 0.623 0.000 0.500
U: 0.377 0.377 0.500
U: 0.000 0.623 0.500
Te: 0.293 0.000 0.000
Te: 0.707 0.707 0.000
Te: 0.000 0.293 0.000

***

Entry 13:
USbTe | PBE | relaxed

Output
As for the final energy: -6.166 eV/atom.

Unit cell a=5.519 b=5.519 c=6.108 alpha=90.00 beta=90.00 gamma=120.00
Element x y z (fractional)
Sb: 0.333 0.667 0.750
Sb: 0.667 0.333 0.250
Te: 0.333 0.667 0.250
Te: 0.667 0.333 0.750
U: 0.000 0.000 0.000
U: 0.000 0.000 0.500

***

Entry 14:
ThTlSb | PBE | relaxed

Output
As for the final energy: -4.463 eV/atom.

Unit cell a=5.185 b=5.185 c=5.185 alpha=60.00 beta=60.00 gamma=60.00
Element x y z (fractional)
Tl: 0.000 0.000 0.000
Sb: 0.250 0.250 0.250
Th: 0.750 0.750 0.750

***

Entry 15:
Tm5ThSb6 | PBE | relaxed

Output
As for the final energy: -5.589 eV/atom.

Unit cell a=7.565 b=7.565 c=7.572 alpha=99.61 beta=99.61 gamma=120.00
Element x y z (fractional)
Sb: 0.257 0.257 0.748
Sb: 0.915 0.575 0.745
Sb: 0.085 0.425 0.255
Sb: 0.425 0.085 0.255
Sb: 0.743 0.743 0.252
Sb: 0.575 0.915 0.745
Tm: 0.332 0.668 0.000
Tm: 0.164 0.836 0.500
Tm: 0.500 0.500 0.500
Tm: 0.836 0.164 0.500
Tm: 0.668 0.332 0.000
Th: 0.000 0.000 0.000

***

Entry 16:
YThSb | PBE | relaxed

Output
As for the final energy: -6.332 eV/atom.

Unit cell a=5.181 b=5.181 c=5.181 alpha=60.00 beta=60.00 gamma=60.00
Element x y z (fractional)
Y: 0.750 0.750 0.750
Sb: 0.000 0.000 0.000
Th: 0.250 0.250 0.250

***

Entry 17:
TmTlSb | PBE | relaxed

Output
The calculation puts the energy above the lowest structure with this stoichiometry at 0.252 eV per atom. As for the final energy: -3.640 eV/atom.

Unit cell a=5.119 b=5.119 c=5.119 alpha=60.00 beta=60.00 gamma=60.00
Element x y z (fractional)
Sb: 0.250 0.250 0.250
Tm: 0.750 0.750 0.750
Tl: 0.000 0.000 0.000

***

Entry 18:
TmTlSb | PBE | relaxed

Output
The calculation puts the energy above the lowest structure with this stoichiometry at 0.000 eV per atom. As for the final energy: -3.892 eV/atom.

Unit cell a=5.103 b=5.103 c=5.103 alpha=60.00 beta=60.00 gamma=60.00
Element x y z (fractional)
Tl: 0.750 0.750 0.750
Tm: 0.000 0.000 0.000
Sb: 0.250 0.250 0.250

***

Entry 19:
TlSbW2 | PBE | relaxed

Output
As for the final energy: -7.174 eV/atom.

Unit cell a=3.161 b=3.161 c=18.026 alpha=90.04 beta=90.04 gamma=59.95
Element x y z (fractional)
W: 0.508 0.508 0.635
W: 0.509 0.509 0.865
W: 0.492 0.492 0.365
W: 0.491 0.491 0.135
Sb: 0.840 0.840 0.750
Sb: 0.160 0.160 0.250
Tl: 0.000 0.000 0.000
Tl: 0.000 0.000 0.500

***

Entry 20:
TlZnSb2 | PBE | relaxed

Output
As for the final energy: -2.762 eV/atom.

Unit cell a=5.303 b=5.303 c=5.303 alpha=60.00 beta=60.00 gamma=60.00
Element x y z (fractional)
Tl: 0.750 0.750 0.750
Sb: 0.000 0.000 0.000
Sb: 0.250 0.250 0.250
Zn: 0.500 0.500 0.500

***

Entry 21:
TlZnSb | PBE | relaxed

Output
As for the final energy: -2.608 eV/atom.

Unit cell a=4.433 b=4.433 c=8.396 alpha=90.00 beta=90.00 gamma=90.00
Element x y z (fractional)
Zn: 0.500 0.500 0.000
Zn: 0.000 0.000 0.000
Sb: 0.500 0.000 0.796
Sb: 0.000 0.500 0.204
Tl: 0.500 0.000 0.364
Tl: 0.000 0.500 0.636

***

Entry 22:
Zr3TlSb5 | PBE | relaxed

Output
As for the final energy: -5.681 eV/atom.

Unit cell a=6.344 b=6.344 c=7.320 alpha=90.00 beta=90.00 gamma=120.00
Element x y z (fractional)
Sb: 0.000 0.000 0.500
Sb: 0.667 0.333 0.806
Sb: 0.667 0.333 0.194
Sb: 0.333 0.667 0.806
Sb: 0.333 0.667 0.194
Zr: 0.000 0.500 0.500
Zr: 0.500 0.500 0.500
Zr: 0.500 0.000 0.500
Tl: 0.000 0.000 0.000

***

Entry 23:
Tm3Sb | PBE | relaxed

Output
As for the final energy: -4.939 eV/atom.

Unit cell a=12.192 b=12.192 c=6.095 alpha=90.00 beta=90.00 gamma=90.00
Element x y z (fractional)
Tm: 0.333 0.642 0.786
Tm: 0.219 0.396 0.535
Tm: 0.167 0.858 0.786
Tm: 0.576 0.464 0.735
Tm: 0.424 0.536 0.265
Tm: 0.536 0.076 0.235
Tm: 0.719 0.896 0.465
Tm: 0.076 0.964 0.265
Tm: 0.833 0.142 0.214
Tm: 0.396 0.281 0.965
Tm: 0.896 0.781 0.035
Tm: 0.036 0.576 0.765
Tm: 0.642 0.167 0.714
Tm: 0.358 0.833 0.286
Tm: 0.924 0.036 0.735
Tm: 0.667 0.358 0.214
Tm: 0.858 0.333 0.714
Tm: 0.781 0.604 0.465
Tm: 0.142 0.667 0.286
Tm: 0.104 0.219 0.965
Tm: 0.964 0.424 0.235
Tm: 0.464 0.924 0.765
Tm: 0.604 0.719 0.035
Tm: 0.281 0.104 0.535
Sb: 0.949 0.792 0.539
Sb: 0.449 0.292 0.461
Sb: 0.051 0.208 0.461
Sb: 0.292 0.051 0.039
Sb: 0.208 0.449 0.039
Sb: 0.708 0.949 0.961
Sb: 0.551 0.708 0.539
Sb: 0.792 0.551 0.961

***

Entry 24:
TmSb | PBE | relaxed

Output
As for the final energy: -4.848 eV/atom.

Unit cell a=4.862 b=4.862 c=4.862 alpha=60.00 beta=60.00 gamma=60.00
Element x y z (fractional)
Sb: 0.000 0.000 0.000
Tm: 0.250 0.250 0.250

***

Entry 25:
Tm5Sb3 | PBE | relaxed

Output
As for the final energy: -5.200 eV/atom.

Unit cell a=11.663 b=9.189 c=8.040 alpha=90.00 beta=90.00 gamma=90.00
Element x y z (fractional)
Sb: 0.325 0.491 0.063
Sb: 0.175 0.991 0.563
Sb: 0.675 0.509 0.937
Sb: 0.975 0.250 0.902
Sb: 0.175 0.509 0.563
Sb: 0.825 0.491 0.437
Sb: 0.325 0.009 0.063
Sb: 0.475 0.250 0.598
Sb: 0.525 0.750 0.402
Sb: 0.675 0.991 0.937
Sb: 0.025 0.750 0.098
Sb: 0.825 0.009 0.437
Tm: 0.710 0.750 0.657
Tm: 0.934 0.560 0.809
Tm: 0.066 0.060 0.191
Tm: 0.066 0.440 0.191
Tm: 0.771 0.750 0.174
Tm: 0.566 0.060 0.309
Tm: 0.566 0.440 0.309
Tm: 0.210 0.750 0.843
Tm: 0.790 0.250 0.157
Tm: 0.505 0.250 0.976
Tm: 0.271 0.750 0.326
Tm: 0.995 0.750 0.476
Tm: 0.005 0.250 0.524
Tm: 0.934 0.940 0.809
Tm: 0.434 0.940 0.691
Tm: 0.434 0.560 0.691
Tm: 0.290 0.250 0.343
Tm: 0.229 0.250 0.826
Tm: 0.729 0.250 0.674
Tm: 0.495 0.750 0.024